1.
VASP calculation (PBE) on a geometry-optimized LiTlB2 structure.

Structure (POSCAR):
```
LiTlB2
1.0
-2.7081 2.0933 0.3824
-0.8923 -1.6790 2.8717
4.1179 6.8211 7.3330
B Li Tl
4 2 2
Cartesian
-1.4517 3.3270 2.5268
1.9614 5.6909 6.0021
0.6073 6.7376 6.1933
-1.8978 2.4875 3.9627
0.7127 2.6746 5.9159
-1.8002 0.2071 1.6271
0.0000 0.0000 0.0000
-0.1952 4.5608 4.6712
```

Values from the calculation:
Energy relative to the lowest polymorph listed for this composition = 0 meV per atom
VASP energy = -28.49 eV per cell

***

2.
VASP calculation (PBE) on a geometry-optimized Rb4Au2Br structure.

Structure (POSCAR):
```
Rb4Au2Br
1.0
6.6467 0.0000 0.0000
0.0000 6.6467 0.0000
-3.3233 -3.3233 8.2808
Rb Br Au
4 1 2
Cartesian
3.3233 0.0000 0.0000
0.0000 3.3233 0.0000
3.3233 3.3233 4.8679
0.0000 0.0000 3.4130
0.0000 0.0000 0.0000
0.0000 0.0000 6.8431
3.3233 3.3233 1.4377
```

Values from the calculation:
Energy relative to the lowest polymorph listed for this composition = 63 meV per atom
VASP energy = -16.17 eV per cell
Energy relative to the elements, uncorrected = -0.582 eV per atom

***

3.
VASP calculation (PBE) on a geometry-optimized CaLa2H structure.

Structure (POSCAR):
```
CaLa2H
1.0
3.7841 0.0000 0.0000
1.8920 3.2771 0.0000
1.8920 1.0924 9.4973
Ca La H
1 2 1
Cartesian
3.7841 2.1847 4.7375
1.8920 1.0924 8.0595
1.8920 1.0924 1.4734
5.6761 3.2771 9.4729
```

Values from the calculation:
Energy relative to the lowest polymorph listed for this composition = 0 meV per atom
VASP energy = -15.82 eV per cell

***

4.
VASP calculation (PBE) on a geometry-optimized Rb4Sm3SnSe8 structure.

Structure (POSCAR):
```
Rb4Sm3SnSe8
1.0
-5.6365 -4.9907 -4.2347
7.0046 -3.3786 -5.3414
0.8409 -0.7426 8.5653
Rb Se Sn Sm
4 8 1 3
Cartesian
-2.3978 -2.8667 2.1653
0.0000 0.0000 0.0000
0.4204 -0.3713 4.2827
-2.8182 -2.4954 -2.1174
1.0480 -2.7408 1.8352
4.3911 -4.2212 3.5789
1.1609 -6.3712 -2.8460
1.5447 -6.7416 1.4404
-2.1821 -4.8907 -4.5897
-1.7578 -5.2647 -0.2651
3.9667 -3.8473 -0.7456
0.6643 -2.3704 -2.4512
3.5023 -1.6893 -2.6707
3.9227 -2.0606 1.6120
0.6841 -4.1847 -4.7880
1.1045 -4.5560 -0.5054
```

Values from the calculation:
VASP energy = -73.50 eV per cell
Energy relative to the elements, uncorrected = -1.474 eV per atom

***

5.
VASP calculation (PBE) on a geometry-optimized Na2NpCl3O3 structure.

Structure (POSCAR):
```
Na2NpCl3O3
1.0
3.2403 0.0000 0.0000
0.0000 7.5203 0.0000
0.0000 -3.7602 6.5128
Np O Na Cl
1 3 2 3
Cartesian
0.0000 0.0000 0.0000
1.6201 -3.0688 5.3152
1.6201 0.6914 1.1976
1.6201 6.1375 0.0000
1.6201 3.7602 2.1709
1.6201 0.0000 4.3419
0.0000 2.2436 3.8860
0.0000 3.0332 0.0000
0.0000 -1.5166 2.6268
```

Values from the calculation:
VASP energy = -51.73 eV per cell
Energy relative to the elements, uncorrected = -1.748 eV per atom

***

6.
VASP calculation (PBE) on a geometry-optimized NiAuSeBr2 structure.

Structure (POSCAR):
```
NiAuSeBr2
1.0
-1.0937 1.0912 -4.7328
4.4469 -1.7260 -1.4256
-1.8357 -4.2673 -0.5597
Ni Au Br Se
1 1 2 1
Cartesian
0.0000 0.0000 0.0000
0.7588 -2.4510 -3.3590
2.2235 -0.8630 -0.7128
-0.5469 0.5456 -2.3664
-0.9178 -2.1336 -0.2798
```

Values from the calculation:
Energy relative to the lowest polymorph listed for this composition = 0 meV per atom
VASP energy = -13.96 eV per cell
Energy relative to the elements, uncorrected = 0.385 eV per atom

***

7.
VASP calculation (PBE) on a geometry-optimized Ce4SnSb structure.

Structure (POSCAR):
```
Ce4SnSb
1.0
-2.5973 3.0290 -3.1959
-5.7499 -1.8960 -1.2128
-1.5993 5.4643 2.3898
Ce Sb Sn
4 1 1
Cartesian
-1.7637 2.9271 0.1192
-6.7412 6.2264 -0.8866
-3.2053 0.3708 -1.1321
-8.1828 3.6700 -2.1379
-4.9732 3.2986 -1.0094
-2.5973 3.0289 -3.1958
```

Values from the calculation:
Energy relative to the lowest polymorph listed for this composition = 75 meV per atom
VASP energy = -34.12 eV per cell
Energy relative to the elements, uncorrected = -0.376 eV per atom

***

8.
VASP calculation (PBE) on a geometry-optimized Pt2W structure.

Structure (POSCAR):
```
Pt2W
1.0
4.8444 -0.0008 0.0000
-2.3975 4.2095 0.0000
0.0000 0.0000 4.5746
Pt W
4 2
Cartesian
1.9793 0.6697 3.4310
0.4675 3.5390 1.1437
2.8442 2.1572 1.1437
-0.3973 2.0515 3.4310
0.4382 0.7538 1.1437
2.0086 3.4549 3.4310
```

Values from the calculation:
Energy relative to the lowest polymorph listed for this composition = 1 meV per atom
VASP energy = -52.17 eV per cell